# TcSeCl3

TcSeCl3 after structural relaxation (PBE, Alexandria).

Geometry as POSCAR:
```
TcSeCl3
1.0
-4.3809 -2.1044 -1.6726
1.9372 -0.2541 -4.7540
1.8637 -4.6824 1.0097
Tc Se Cl
1 1 3
Direct
0.5000 0.5000 0.5000 Tc
0.0000 0.0000 0.0000 Se
0.0000 0.5000 0.0000 Cl
0.0000 0.0000 0.5000 Cl
0.5000 0.0000 0.0000 Cl
```

Calculated values
- Magnetic moment: 1.012 μB/atom
- Space group: Pm-3m (221)
- Crystal system: cubic
- DOS(E_F): 1.02 states/eV/atom

# TcSe3Cl

TcSe3Cl after structural relaxation (PBE, Alexandria).

Geometry as POSCAR:
```
TcSe3Cl
1.0
4.8772 0.0000 0.0000
0.0000 4.8772 0.0000
0.0000 0.0000 4.8772
Tc Se Cl
1 3 1
Direct
0.0000 0.0000 0.0000 Tc
0.0000 0.5000 0.0000 Se
0.0000 0.0000 0.5000 Se
0.5000 0.0000 0.0000 Se
0.5000 0.5000 0.5000 Cl
```

Calculated values
- Magnetic moment: 0.000 μB/atom
- Space group: Pm-3m (221)
- Crystal system: cubic
- DOS(E_F): 0.93 states/eV/atom

# Tc4Se8Cl

Tc4Se8Cl after structural relaxation (PBE, Alexandria).

Geometry as POSCAR:
```
Tc4Se8Cl
1.0
0.8839 1.3480 -6.1666
1.1452 -5.8818 2.1726
-9.1782 -1.1493 1.7272
Tc Se Cl
4 8 1
Direct
0.0000 0.0000 0.0000 Tc
0.0000 0.5000 0.0000 Tc
0.5000 0.5000 0.0000 Tc
0.5000 0.0000 0.0000 Tc
0.4704 0.7352 0.2056 Se
0.5296 0.2648 0.7944 Se
0.4651 0.2325 0.2030 Se
0.0295 0.2620 0.7970 Se
0.5349 0.7675 0.7970 Se
0.0295 0.7675 0.7970 Se
0.9705 0.2325 0.2030 Se
0.9705 0.7380 0.2030 Se
0.0000 0.5000 0.5000 Cl
```

Calculated values
- Magnetic moment: 0.000 μB/atom
- Space group: R-3m (166)
- Crystal system: trigonal
- DOS(E_F): 0.83 states/eV/atom

# TcSeCl4

TcSeCl4 after structural relaxation (PBE, Alexandria).

Geometry as POSCAR:
```
TcSeCl4
1.0
0.0000 4.0845 4.0845
4.0845 0.0000 4.0845
4.0845 4.0845 0.0000
Tc Se Cl
1 1 4
Direct
0.0000 0.0000 0.0000 Tc
0.7500 0.7500 0.7500 Se
0.8763 0.3746 0.3746 Cl
0.3746 0.3746 0.8763 Cl
0.3746 0.8763 0.3746 Cl
0.3746 0.3746 0.3746 Cl
```

Calculated values
- Magnetic moment: 0.797 μB/atom
- Space group: F-43m (216)
- Crystal system: cubic
- DOS(E_F): 0.61 states/eV/atom

Q: Which calculated total energy values were calculated for the entries above? A: -3.0838; -4.2461; -5.7072; -2.4335, in eV/atom.